! BaTaAg (PBE, relaxed); values from VASP
&SYSTEM
  ibrav = 0, nat = 6, ntyp = 3
/
ATOMIC_SPECIES
Ba 137.33 Ba.upf
Ag 107.87 Ag.upf
Ta 180.95 Ta.upf
CELL_PARAMETERS angstrom
-4.677 4.075 -2.805
-7.361 -2.231 2.307
-0.155 2.671 2.084
ATOMIC_POSITIONS angstrom
Ba -5.279 3.087 0.926
Ba -8.959 1.971 2.079
Ag -2.177 0.955 1.126
Ag -8.381 5.219 0.724
Ta -4.580 6.393 -0.497
Ta -5.979 -0.220 2.348
! SG: No. 12
! energy above the most stable polymorph in this dataset: 207 meV/atom
! formation enthalpy at 0 K: 1.612 eV/f.u.
! magnetization: 0.000 μB per formula unit
! calculated density: 8.44 Mg/m³

---

! BaTaAg2 (PBE, relaxed); values from VASP
&SYSTEM
  ibrav = 0, nat = 4, ntyp = 3
/
ATOMIC_SPECIES
Ba 137.33 Ba.upf
Ag 107.87 Ag.upf
Ta 180.95 Ta.upf
CELL_PARAMETERS angstrom
5.105 0.000 0.000
2.553 4.421 0.000
2.553 1.474 4.168
ATOMIC_POSITIONS angstrom
Ba 5.105 2.947 2.084
Ag 0.000 0.000 0.000
Ag 2.553 1.474 1.042
Ta 7.658 4.421 3.126
! SG: No. 216
! energy above the most stable polymorph in this dataset: 529 meV/atom
! formation enthalpy at 0 K: 3.823 eV/f.u.
! magnetization: 1.171 μB per formula unit
! calculated density: 9.43 Mg/m³

---

! BaTa2Ag (PBE, relaxed); values from VASP
&SYSTEM
  ibrav = 0, nat = 4, ntyp = 3
/
ATOMIC_SPECIES
Ba 137.33 Ba.upf
Ag 107.87 Ag.upf
Ta 180.95 Ta.upf
CELL_PARAMETERS angstrom
-1.433 -1.379 2.219
-2.006 -1.040 -1.942
5.710 -8.285 -1.463
ATOMIC_POSITIONS angstrom
Ba 2.563 -7.424 -0.959
Ag -0.292 -3.281 -0.227
Ta 0.264 -0.383 -0.068
Ta 2.591 -3.760 -0.664
! SG: No. 123
! energy above the most stable polymorph in this dataset: 451 meV/atom
! formation enthalpy at 0 K: 3.801 eV/f.u.
! magnetization: 0.001 μB per formula unit
! calculated density: 11.17 Mg/m³

---

! BaTaAg (PBE, relaxed); values from VASP
&SYSTEM
  ibrav = 0, nat = 6, ntyp = 3
/
ATOMIC_SPECIES
Ba 137.33 Ba.upf
Ag 107.87 Ag.upf
Ta 180.95 Ta.upf
CELL_PARAMETERS angstrom
-2.810 -2.655 1.613
-0.529 -1.734 -3.776
6.584 -5.887 1.782
ATOMIC_POSITIONS angstrom
Ba 3.292 -2.943 0.891
Ba 1.623 -5.138 -0.191
Ag 4.904 -5.488 -0.489
Ag 0.011 -2.593 1.190
Ta 0.203 -1.285 -1.761
Ta 4.712 -6.796 2.462
! SG: No. 129
! energy above the most stable polymorph in this dataset: 902 meV/atom
! formation enthalpy at 0 K: 3.694 eV/f.u.
! magnetization: 0.000 μB per formula unit
! calculated density: 8.95 Mg/m³

---

! BaTa2Ag (PBE, relaxed); values from VASP
&SYSTEM
  ibrav = 0, nat = 4, ntyp = 3
/
ATOMIC_SPECIES
Ba 137.33 Ba.upf
Ag 107.87 Ag.upf
Ta 180.95 Ta.upf
CELL_PARAMETERS angstrom
6.162 0.000 0.000
-3.353 5.170 0.000
0.000 0.000 2.914
ATOMIC_POSITIONS angstrom
Ba -1.677 2.585 1.457
Ag 3.081 0.000 1.457
Ta 0.000 0.000 0.000
Ta 1.404 2.585 0.000
! SG: No. 65
! energy above the most stable polymorph in this dataset: 627 meV/atom
! formation enthalpy at 0 K: 4.501 eV/f.u.
! magnetization: 0.000 μB per formula unit
! calculated density: 10.86 Mg/m³

---

! BaTa2Ag (PBE, relaxed); values from VASP
&SYSTEM
  ibrav = 0, nat = 4, ntyp = 3
/
ATOMIC_SPECIES
Ba 137.33 Ba.upf
Ag 107.87 Ag.upf
Ta 180.95 Ta.upf
CELL_PARAMETERS angstrom
-1.074 5.248 -2.698
-3.207 4.205 2.829
4.665 -3.600 1.121
ATOMIC_POSITIONS angstrom
Ba 0.725 3.187 -0.756
Ag -0.341 2.666 2.008
Ta 0.000 0.000 0.000
Ta -2.140 4.727 0.065
! SG: No. 139
! energy above the most stable polymorph in this dataset: 627 meV/atom
! formation enthalpy at 0 K: 4.503 eV/f.u.
! magnetization: 0.000 μB per formula unit
! calculated density: 10.74 Mg/m³

---

! Ba2TaAg (PBE, relaxed); values from VASP
&SYSTEM
  ibrav = 0, nat = 4, ntyp = 3
/
ATOMIC_SPECIES
Ba 137.33 Ba.upf
Ag 107.87 Ag.upf
Ta 180.95 Ta.upf
CELL_PARAMETERS angstrom
7.092 -0.006 0.016
3.795 5.991 -0.016
-4.703 -4.340 3.057
ATOMIC_POSITIONS angstrom
Ba 0.278 0.153 0.000
Ba 3.677 -0.808 1.536
Ag 2.683 2.550 1.521
Ta 4.990 2.743 0.000
! SG: No. 44
! energy above the most stable polymorph in this dataset: 71 meV/atom
! formation enthalpy at 0 K: 2.771 eV/f.u.
! magnetization: 1.137 μB per formula unit
! calculated density: 7.22 Mg/m³

---

! BaTa2Ag (PBE, relaxed); values from VASP
&SYSTEM
  ibrav = 0, nat = 4, ntyp = 3
/
ATOMIC_SPECIES
Ba 137.33 Ba.upf
Ag 107.87 Ag.upf
Ta 180.95 Ta.upf
CELL_PARAMETERS angstrom
5.485 0.000 0.000
0.000 3.094 0.006
0.000 0.787 5.702
ATOMIC_POSITIONS angstrom
Ba 2.743 2.911 4.281
Ag 2.743 0.970 1.427
Ta 0.000 0.245 0.307
Ta 0.000 1.696 2.547
! SG: No. 10
! energy above the most stable polymorph in this dataset: 420 meV/atom
! formation enthalpy at 0 K: 3.676 eV/f.u.
! magnetization: 0.000 μB per formula unit
! calculated density: 10.42 Mg/m³

---

! BaTaAg (PBE, relaxed); values from VASP
&SYSTEM
  ibrav = 0, nat = 3, ntyp = 3
/
ATOMIC_SPECIES
Ba 137.33 Ba.upf
Ag 107.87 Ag.upf
Ta 180.95 Ta.upf
CELL_PARAMETERS angstrom
7.429 -0.034 0.035
6.700 3.209 0.040
0.729 0.157 3.239
ATOMIC_POSITIONS angstrom
Ba 5.202 1.165 2.183
Ag 1.089 0.238 3.154
Ta 9.296 2.087 1.216
! SG: No. 107
! energy above the most stable polymorph in this dataset: 404 meV/atom
! formation enthalpy at 0 K: 2.201 eV/f.u.
! magnetization: 0.391 μB per formula unit
! calculated density: 9.09 Mg/m³

---

! BaTaAg2 (PBE, relaxed); values from VASP
&SYSTEM
  ibrav = 0, nat = 8, ntyp = 3
/
ATOMIC_SPECIES
Ba 137.33 Ba.upf
Ag 107.87 Ag.upf
Ta 180.95 Ta.upf
CELL_PARAMETERS angstrom
8.188 0.000 0.000
0.000 8.188 0.000
4.094 4.094 3.391
ATOMIC_POSITIONS angstrom
Ba 4.094 4.094 0.000
Ba 4.094 8.188 1.695
Ag 6.648 2.047 0.848
Ag 1.540 6.141 0.848
Ag 6.141 5.634 2.543
Ag 10.235 10.742 2.543
Ta 0.000 0.000 0.000
Ta 8.188 4.094 1.695
! SG: No. 122
! energy above the most stable polymorph in this dataset: 426 meV/atom
! formation enthalpy at 0 K: 3.410 eV/f.u.
! magnetization: 2.269 μB per formula unit
! calculated density: 7.80 Mg/m³

---

! Ba2TaAg (PBE, relaxed); values from VASP
&SYSTEM
  ibrav = 0, nat = 4, ntyp = 3
/
ATOMIC_SPECIES
Ba 137.33 Ba.upf
Ag 107.87 Ag.upf
Ta 180.95 Ta.upf
CELL_PARAMETERS angstrom
-4.705 0.868 1.645
1.194 -0.385 3.618
1.951 6.607 2.094
ATOMIC_POSITIONS angstrom
Ba 2.980 5.800 5.462
Ba -1.390 2.472 2.500
Ag -0.264 4.944 4.416
Ta 1.831 3.207 3.546
! SG: No. 6
! energy above the most stable polymorph in this dataset: 127 meV/atom
! formation enthalpy at 0 K: 2.996 eV/f.u.
! magnetization: 0.001 μB per formula unit
! calculated density: 6.96 Mg/m³

---

! BaTa2Ag (PBE, relaxed); values from VASP
&SYSTEM
  ibrav = 0, nat = 4, ntyp = 3
/
ATOMIC_SPECIES
Ba 137.33 Ba.upf
Ag 107.87 Ag.upf
Ta 180.95 Ta.upf
CELL_PARAMETERS angstrom
3.608 0.000 0.000
0.000 3.608 0.000
0.000 0.000 7.665
ATOMIC_POSITIONS angstrom
Ba 1.804 1.804 5.749
Ag 1.804 1.804 1.916
Ta 0.000 0.000 0.663
Ta 0.000 0.000 3.169
! SG: No. 123
! energy above the most stable polymorph in this dataset: 496 meV/atom
! formation enthalpy at 0 K: 3.978 eV/f.u.
! magnetization: 0.000 μB per formula unit
! calculated density: 10.11 Mg/m³

---

! BaTaAg2 (PBE, relaxed); values from VASP
&SYSTEM
  ibrav = 0, nat = 4, ntyp = 3
/
ATOMIC_SPECIES
Ba 137.33 Ba.upf
Ag 107.87 Ag.upf
Ta 180.95 Ta.upf
CELL_PARAMETERS angstrom
-0.281 -3.119 -1.289
2.724 -0.975 1.766
-4.913 -2.189 6.371
ATOMIC_POSITIONS angstrom
Ba -2.441 -1.088 3.165
Ag -0.003 -0.001 0.003
Ag 0.302 -2.457 1.431
Ta -2.785 -3.832 5.434
! SG: No. 99
! energy above the most stable polymorph in this dataset: 135 meV/atom
! formation enthalpy at 0 K: 2.244 eV/f.u.
! magnetization: 0.000 μB per formula unit
! calculated density: 9.26 Mg/m³

---

! BaTaAg (PBE, relaxed); values from VASP
&SYSTEM
  ibrav = 0, nat = 6, ntyp = 3
/
ATOMIC_SPECIES
Ba 137.33 Ba.upf
Ag 107.87 Ag.upf
Ta 180.95 Ta.upf
CELL_PARAMETERS angstrom
12.867 0.001 0.001
-0.017 3.628 0.000
0.007 0.000 3.628
ATOMIC_POSITIONS angstrom
Ba 0.067 1.312 1.642
Ba 8.972 3.170 3.438
Ag 5.424 3.153 3.446
Ag 6.734 1.346 1.629
Ta 2.544 3.141 3.450
Ta 3.691 1.333 1.633
! SG: No. 1
! energy above the most stable polymorph in this dataset: 33 meV/atom
! formation enthalpy at 0 K: 1.087 eV/f.u.
! magnetization: 0.000 μB per formula unit
! calculated density: 8.36 Mg/m³